Compound: LaHf3Al
Source: the Alexandria database
Functional: PBE
Structure: optimized geometry

a = 5.109 Å, b = 5.109 Å, c = 5.109 Å
α = 90.00°, β = 90.00°, γ = 90.00°
Space group Pm-3m (No. 221)
Symmetry-distinct sites (fractional):
La1 0.000 0.000 0.000 x1
Hf1 0.000 0.000 0.500 x3
Al1 0.500 0.500 0.500 x1

Output
E_form: 1572 meV per atom
energy above the most stable polymorph in this dataset: 966 meV per atom



Compound: La2HfAl
Source: the Alexandria database
Functional: PBE
Structure: optimized geometry

a = 4.342 Å, b = 4.342 Å, c = 22.914 Å
α = 90.00°, β = 90.00°, γ = 90.00°
Space group I-42d (No. 122)
Symmetry-distinct sites (fractional):
La1 0.245 0.250 0.125 x8
Hf1 0.000 0.000 0.000 x4
Al1 0.000 0.000 0.500 x4

Output
E_form: 398 meV per atom



Compound: LaHf2Al2
Source: the Alexandria database
Functional: PBE
Structure: optimized geometry

a = 8.244 Å, b = 8.244 Å, c = 3.272 Å
α = 90.00°, β = 90.00°, γ = 90.00°
Space group P4/mbm (No. 127)
Symmetry-distinct sites (fractional):
La1 0.000 0.000 0.000 x2
Hf1 0.175 0.325 0.500 x4
Al1 0.117 0.617 0.000 x4

Output
E_form: -213 meV per atom
energy above the most stable polymorph in this dataset: 0 meV per atom



Compound: LaHfAl3
Source: the Alexandria database
Functional: PBE
Structure: optimized geometry

a = 5.145 Å, b = 5.145 Å, c = 5.145 Å
α = 90.00°, β = 90.00°, γ = 90.00°
Space group Pm-3m (No. 221)
Symmetry-distinct sites (fractional):
La1 0.000 0.000 0.000 x1
Hf1 0.500 0.500 0.500 x1
Al1 0.000 0.500 0.500 x3

Output
E_form: 240 meV per atom
energy above the most stable polymorph in this dataset: 0 meV per atom



Compound: LaHfAl
Source: the Alexandria database
Functional: PBE
Structure: optimized geometry

a = 4.9076 Å, b = 4.9076 Å, c = 23.7007 Å
α = 90.00°, β = 90.00°, γ = 120.00°
Space group R3m (No. 160, hexagonal axes)
Symmetry-distinct sites (fractional):
La1 0.0000 0.0000 0.0000 x3
La2 0.0000 0.0000 0.4379 x3
Hf1 0.0000 0.0000 0.2572 x3
Hf2 0.0000 0.0000 0.8628 x3
Al1 0.0000 0.0000 0.1433 x3
Al2 0.0000 0.0000 0.5811 x3

Output
E_form: -24 meV per atom



Compound: La2Hf2Al
Source: the Alexandria database
Functional: PBE
Structure: optimized geometry

a = 7.475 Å, b = 7.475 Å, c = 4.893 Å
α = 90.00°, β = 90.00°, γ = 90.00°
Space group P4/mbm (No. 127)
Symmetry-distinct sites (fractional):
La1 0.166 0.334 0.000 x4
Hf1 0.141 0.641 0.500 x4
Al1 0.000 0.000 0.500 x2

Output
E_form: 98 meV per atom



Compound: LaHf2Al2
Source: the Alexandria database
Functional: PBE
Structure: optimized geometry

a = 4.483 Å, b = 4.483 Å, c = 12.285 Å
α = 90.00°, β = 90.00°, γ = 90.00°
Space group I4/mmm (No. 139)
Symmetry-distinct sites (fractional):
La1 0.000 0.000 0.000 x2
Hf1 0.000 0.000 0.384 x4
Al1 0.000 0.500 0.250 x4

Output
E_form: 135 meV per atom
energy above the most stable polymorph in this dataset: 347 meV per atom



Compound: LaHf2Al2
Source: the Alexandria database
Functional: PBE
Structure: optimized geometry

a = 8.554 Å, b = 8.554 Å, c = 3.039 Å
α = 90.00°, β = 90.00°, γ = 90.00°
Space group P4/mbm (No. 127)
Symmetry-distinct sites (fractional):
La1 0.000 0.000 0.000 x2
Hf1 0.124 0.376 0.000 x4
Al1 0.170 0.670 0.500 x4

Output
E_form: -194 meV per atom
energy above the most stable polymorph in this dataset: 19 meV per atom



Compound: LaHfAl3
Source: the Alexandria database
Functional: PBE
Structure: optimized geometry

a = 5.258 Å, b = 5.258 Å, c = 5.258 Å
α = 90.00°, β = 90.00°, γ = 90.00°
Space group Pm-3m (No. 221)
Symmetry-distinct sites (fractional):
La1 0.000 0.000 0.000 x1
Hf1 0.500 0.500 0.500 x1
Al1 0.000 0.000 0.500 x3

Output
E_form: 1473 meV per atom
energy above the most stable polymorph in this dataset: 1233 meV per atom



Compound: La2HfMgAl
Source: the Alexandria database
Functional: PBE
Structure: optimized geometry

a = 5.771 Å, b = 5.771 Å, c = 4.994 Å
α = 90.00°, β = 90.00°, γ = 90.00°
Space group P4/mmm (No. 123)
Symmetry-distinct sites (fractional):
La1 0.000 0.500 0.000 x2
Hf1 0.000 0.000 0.500 x1
Mg1 0.500 0.500 0.500 x1
Al1 0.500 0.500 0.000 x1

Output
E_form: 670 meV per atom



Compound: La2HfAlPd
Source: the Alexandria database
Functional: PBE
Structure: optimized geometry

a = 5.558 Å, b = 5.558 Å, c = 5.106 Å
α = 90.00°, β = 90.00°, γ = 90.00°
Space group P4/mmm (No. 123)
Symmetry-distinct sites (fractional):
La1 0.000 0.500 0.000 x2
Hf1 0.000 0.000 0.000 x1
Al1 0.000 0.000 0.500 x1
Pd1 0.500 0.500 0.500 x1

Output
E_form: 645 meV per atom



Compound: La2HfAlPt6
Source: the Alexandria database
Functional: PBE
Structure: optimized geometry

a = 5.7667 Å, b = 5.7667 Å, c = 23.9261 Å
α = 90.00°, β = 90.00°, γ = 120.00°
Space group R-3m (No. 166, hexagonal axes)
Symmetry-distinct sites (fractional):
La1 0.0000 0.0000 0.2112 x6
Hf1 0.0000 0.0000 0.0000 x3
Al1 0.0000 0.0000 0.5000 x3
Pt1 0.0049 0.5025 0.2466 x18

Output
E_form: -875 meV per atom



Compound: La2HfAlRu
Source: the Alexandria database
Functional: PBE
Structure: optimized geometry

a = 5.714 Å, b = 5.714 Å, c = 4.451 Å
α = 90.00°, β = 90.00°, γ = 90.00°
Space group P4/mmm (No. 123)
Symmetry-distinct sites (fractional):
La1 0.000 0.500 0.000 x2
Hf1 0.000 0.000 0.500 x1
Al1 0.500 0.500 0.000 x1
Ru1 0.500 0.500 0.500 x1

Output
E_form: 675 meV per atom



Compound: LaHfAl2Ru
Source: the Alexandria database
Functional: PBE
Structure: optimized geometry

a = 5.276 Å, b = 5.276 Å, c = 4.632 Å
α = 90.00°, β = 90.00°, γ = 90.00°
Space group P4/mmm (No. 123)
Symmetry-distinct sites (fractional):
La1 0.000 0.000 0.000 x1
Hf1 0.500 0.500 0.500 x1
Al1 0.000 0.500 0.000 x2
Ru1 0.000 0.000 0.500 x1

Output
E_form: 1391 meV per atom



Compound: LaHfAlSb2
Source: the Alexandria database
Functional: PBE
Structure: optimized geometry

a = 5.346 Å, b = 5.346 Å, c = 5.042 Å
α = 90.00°, β = 90.00°, γ = 90.00°
Space group P4/mmm (No. 123)
Symmetry-distinct sites (fractional):
La1 0.000 0.000 0.000 x1
Hf1 0.500 0.500 0.000 x1
Al1 0.500 0.500 0.500 x1
Sb1 0.000 0.500 0.500 x2

Output
energy relative to the elements, uncorrected: 0.226 eV/atom



Compound: LaHfAlSi2
Source: the Alexandria database
Functional: PBE
Structure: optimized geometry

a = 4.739 Å, b = 4.739 Å, c = 5.325 Å
α = 90.00°, β = 90.00°, γ = 90.00°
Space group P4/mmm (No. 123)
Symmetry-distinct sites (fractional):
La1 0.000 0.000 0.000 x1
Hf1 0.500 0.500 0.000 x1
Al1 0.000 0.000 0.500 x1
Si1 0.000 0.500 0.500 x2

Output
energy relative to the elements, uncorrected: 0.757 eV/atom



Compound: LaHf2AlZn
Source: the Alexandria database
Functional: PBE
Structure: optimized geometry

a = 5.180 Å, b = 5.180 Å, c = 4.665 Å
α = 90.00°, β = 90.00°, γ = 90.00°
Space group P4/mmm (No. 123)
Symmetry-distinct sites (fractional):
La1 0.000 0.000 0.000 x1
Hf1 0.000 0.500 0.500 x2
Al1 0.500 0.500 0.500 x1
Zn1 0.500 0.500 0.000 x1

Output
E_form: 485 meV per atom



Compound: LaHfZrAl2
Source: the Alexandria database
Functional: PBE
Structure: optimized geometry

a = 5.271 Å, b = 5.271 Å, c = 4.997 Å
α = 90.00°, β = 90.00°, γ = 90.00°
Space group P4/mmm (No. 123)
Symmetry-distinct sites (fractional):
La1 0.000 0.000 0.000 x1
Hf1 0.500 0.500 0.500 x1
Zr1 0.500 0.500 0.000 x1
Al1 0.000 0.500 0.500 x2

Output
E_form: 415 meV per atom



Compound: LiHfAl3
Source: the Alexandria database
Functional: PBE
Structure: optimized geometry

a = 5.279 Å, b = 5.279 Å, c = 5.279 Å
α = 90.00°, β = 90.00°, γ = 90.00°
Space group Pm-3m (No. 221)
Symmetry-distinct sites (fractional):
Li1 0.000 0.000 0.000 x1
Hf1 0.500 0.500 0.500 x1
Al1 0.000 0.500 0.500 x3

Output
E_form: 783 meV per atom
energy above the most stable polymorph in this dataset: 446 meV per atom



Compound: LiHf2Al9
Source: the Alexandria database
Functional: PBE
Structure: optimized geometry

a = 4.070 Å, b = 4.070 Å, c = 12.203 Å
α = 90.00°, β = 90.00°, γ = 90.00°
Space group P4/mmm (No. 123)
Symmetry-distinct sites (fractional):
Li1 0.000 0.000 0.000 x1
Hf1 0.000 0.000 0.333 x2
Al1 0.000 0.500 0.160 x4
Al2 0.000 0.500 0.500 x2
Al3 0.500 0.500 0.000 x1
Al4 0.500 0.500 0.332 x2

Output
E_form: -281 meV per atom



Compound: LiHfAl2
Source: the Alexandria database
Functional: PBE
Structure: optimized geometry

a = 4.111 Å, b = 4.111 Å, c = 4.051 Å
α = 90.00°, β = 90.00°, γ = 90.00°
Space group P4/mmm (No. 123)
Symmetry-distinct sites (fractional):
Li1 0.000 0.000 0.000 x1
Hf1 0.500 0.500 0.000 x1
Al1 0.000 0.500 0.500 x2

Output
E_form: -276 meV per atom



Compound: LiHfAl2
Source: the Alexandria database
Functional: PBE
Structure: optimized geometry

a = 7.137 Å, b = 7.137 Å, c = 5.616 Å
α = 90.00°, β = 90.00°, γ = 90.00°
Space group I-42d (No. 122)
Symmetry-distinct sites (fractional):
Li1 0.000 0.000 0.000 x4
Hf1 0.000 0.000 0.500 x4
Al1 0.211 0.250 0.125 x8

Output
E_form: 138 meV per atom



Compound: LiHfAl3
Source: the Alexandria database
Functional: PBE
Structure: optimized geometry

a = 4.395 Å, b = 4.395 Å, c = 4.395 Å
α = 90.00°, β = 90.00°, γ = 90.00°
Space group Pm-3m (No. 221)
Symmetry-distinct sites (fractional):
Li1 0.000 0.000 0.000 x1
Hf1 0.500 0.500 0.500 x1
Al1 0.000 0.000 0.500 x3

Output
E_form: 336 meV per atom
energy above the most stable polymorph in this dataset: 0 meV per atom



Compound: LiHfAl2
Source: the Alexandria database
Functional: PBE
Structure: optimized geometry

a = 3.092 Å, b = 3.092 Å, c = 7.055 Å
α = 90.00°, β = 90.00°, γ = 90.00°
Space group P4/mmm (No. 123)
Symmetry-distinct sites (fractional):
Li1 0.000 0.000 0.000 x1
Hf1 0.000 0.000 0.500 x1
Al1 0.500 0.500 0.221 x2

Output
E_form: -274 meV per atom



Compound: Li3HfAl
Source: the Alexandria database
Functional: PBE
Structure: optimized geometry

a = 5.150 Å, b = 5.150 Å, c = 5.150 Å
α = 90.00°, β = 90.00°, γ = 90.00°
Space group Pm-3m (No. 221)
Symmetry-distinct sites (fractional):
Li1 0.000 0.000 0.500 x3
Hf1 0.000 0.000 0.000 x1
Al1 0.500 0.500 0.500 x1

Output
E_form: 1391 meV per atom
energy above the most stable polymorph in this dataset: 734 meV per atom



Compound: Li3HfAl
Source: the Alexandria database
Functional: PBE
Structure: optimized geometry

a = 4.523 Å, b = 4.523 Å, c = 4.523 Å
α = 90.00°, β = 90.00°, γ = 90.00°
Space group Pm-3m (No. 221)
Symmetry-distinct sites (fractional):
Li1 0.000 0.000 0.500 x3
Hf1 0.500 0.500 0.500 x1
Al1 0.000 0.000 0.000 x1

Output
E_form: 658 meV per atom
energy above the most stable polymorph in this dataset: 0 meV per atom



Compound: LiHf2MnAl
Source: the Alexandria database
Functional: PBE
Structure: optimized geometry

a = 5.001 Å, b = 5.001 Å, c = 4.033 Å
α = 90.00°, β = 90.00°, γ = 90.00°
Space group P4/mmm (No. 123)
Symmetry-distinct sites (fractional):
Li1 0.000 0.000 0.000 x1
Hf1 0.000 0.500 0.500 x2
Mn1 0.500 0.500 0.000 x1
Al1 0.000 0.000 0.500 x1

Output
E_form: 1219 meV per atom